First-principles (PBE) data for crystalline Th6BiP2Se3 at its relaxed geometry, as listed in Alexandria.

Computed properties:
* total magnetization: 0.0000 μB per atom
* DFT total energy: -7.18 eV per atom
* formation energy (no corrections): -1375 meV/atom
* symmetry: C2/m, No. 12
* N(E_F): 9.33 states/eV per cell

Cell lengths 4.240, 8.540, 9.486 Å; angles 101.88, 102.91, 90.00 degrees
Sites, in units of the cell vectors:
P  0.829  0.663  0.658
P  0.171  0.337  0.342
Th  0.330  0.427  0.660
Th  0.012  0.276  0.024
Th  0.323  0.894  0.647
Th  0.988  0.724  0.976
Th  0.677  0.106  0.353
Th  0.670  0.573  0.340
Se  0.158  0.833  0.316
Se  0.842  0.167  0.684
Se  0.500  0.500  0.000
Bi  0.500  0.000  0.000



First-principles (PBE) data for crystalline ZnFeNi2 at its relaxed geometry, as listed in Alexandria.

Computed properties:
* total magnetization: 0.9009 μB per atom
* DFT total energy: -5.35 eV per atom
* ΔE_f: -10 kJ/mol of formula units
* symmetry: P2/m, No. 10
* N(E_F): 4.41 states/eV per cell

Cell lengths 2.564, 4.529, 5.043 Å; angles 53.76, 90.00, 90.00 degrees
Sites, in units of the cell vectors:
Zn  0.500  0.500  0.500
Fe  0.000  0.000  0.500
Ni  0.500  0.500  0.000
Ni  0.000  0.000  0.000



First-principles (PBE) data for crystalline CoTc2Te at its relaxed geometry, as listed in Alexandria.

Computed properties:
* total magnetization: 0.3868 μB per atom
* DFT total energy: -7.13 eV per atom
* formation energy (no corrections): 615 meV/atom
* symmetry: R-3m, No. 166
* N(E_F): 4.42 states/eV per cell

Cell lengths 8.288, 8.288, 8.288 Å; angles 20.90, 20.90, 20.90 degrees
Sites, in units of the cell vectors:
Tc  0.004  0.004  0.004
Tc  0.496  0.496  0.496
Co  0.750  0.750  0.750
Te  0.250  0.250  0.250



First-principles (PBE) data for crystalline Ni2TeBr at its relaxed geometry, as listed in Alexandria.

Computed properties:
* total magnetization: 0.1051 μB per atom
* DFT total energy: -3.25 eV per atom
* offset from the most stable computed form: 0.936 eV per atom
* formation energy (no corrections): 849 meV/atom
* symmetry: F-43m, No. 216
* N(E_F): 5.62 states/eV per cell

Cell lengths 4.714, 4.714, 4.714 Å; angles 60.00, 60.00, 60.00 degrees
Sites, in units of the cell vectors:
Ni  0.250  0.250  0.250
Ni  0.000  0.000  0.000
Te  0.750  0.750  0.750
Br  0.500  0.500  0.500



First-principles (PBE) data for crystalline ZrTe2P at its relaxed geometry, as listed in Alexandria.

Computed properties:
* total magnetization: 0.0000 μB per atom
* DFT total energy: -5.14 eV per atom
* offset from the most stable computed form: 0.478 eV per atom
* formation energy (no corrections): -78 meV/atom
* symmetry: R-3m, No. 166
* N(E_F): 2.61 states/eV per cell

Cell lengths 9.439, 9.439, 9.439 Å; angles 23.07, 23.07, 23.07 degrees
Sites, in units of the cell vectors:
Te  0.903  0.903  0.903
Te  0.097  0.097  0.097
Zr  0.500  0.500  0.500
P  0.000  0.000  0.000



First-principles (PBE) data for crystalline AgAuSCl2 at its relaxed geometry, as listed in Alexandria.

Computed properties:
* total magnetization: 0.1218 μB per atom
* DFT total energy: -2.52 eV per atom
* offset from the most stable computed form: 0.000 eV per atom
* formation energy (no corrections): 267 meV/atom
* symmetry: P4/mmm, No. 123
* N(E_F): 4.08 states/eV per cell

Cell lengths 5.007, 5.007, 4.904 Å; angles 90.00, 90.00, 90.00 degrees
Sites, in units of the cell vectors:
S  0.000  0.000  0.500
Cl  0.500  0.000  0.000
Cl  0.000  0.500  0.000
Ag  0.500  0.500  0.500
Au  0.000  0.000  0.000



First-principles (PBE) data for crystalline HgRh2 at its relaxed geometry, as listed in Alexandria.

Computed properties:
* total magnetization: 0.5540 μB per atom
* DFT total energy: -4.37 eV per atom
* ΔE_f: 182 kJ/mol of formula units
* symmetry: I4/mcm, No. 140
* N(E_F): 8.08 states/eV per cell

Cell lengths 5.200, 5.200, 5.200 Å; angles 106.34, 106.34, 115.93 degrees
Sites, in units of the cell vectors:
Hg  0.250  0.250  0.000
Hg  0.750  0.750  0.000
Rh  0.862  0.638  0.500
Rh  0.638  0.138  0.777
Rh  0.138  0.362  0.500
Rh  0.362  0.862  0.223



First-principles (PBE) data for crystalline GaSi2C at its relaxed geometry, as listed in Alexandria.

Computed properties:
* total magnetization: 0.0000 μB per atom
* DFT total energy: -4.31 eV per atom
* offset from the most stable computed form: 1.134 eV per atom
* formation energy (no corrections): 1460 meV/atom
* symmetry: Fm-3m, No. 225
* N(E_F): 2.00 states/eV per cell

Cell lengths 4.241, 4.241, 4.241 Å; angles 60.00, 60.00, 60.00 degrees
Sites, in units of the cell vectors:
Si  0.250  0.250  0.250
Si  0.750  0.750  0.750
C  0.000  0.000  0.000
Ga  0.500  0.500  0.500



First-principles (PBE) data for crystalline HgSbTe2 at its relaxed geometry, as listed in Alexandria.

Computed properties:
* total magnetization: 0.0000 μB per atom
* DFT total energy: -2.50 eV per atom
* offset from the most stable computed form: 0.253 eV per atom
* formation energy (no corrections): 173 meV/atom
* symmetry: P4/mmm, No. 123
* N(E_F): 2.86 states/eV per cell

Cell lengths 3.882, 3.882, 7.658 Å; angles 90.00, 90.00, 90.00 degrees
Sites, in units of the cell vectors:
Sb  0.500  0.500  0.750
Hg  0.500  0.500  0.250
Te  0.000  0.000  0.980
Te  0.000  0.000  0.520



First-principles (PBE) data for crystalline Ta2BeIr at its relaxed geometry, as listed in Alexandria.

Computed properties:
* total magnetization: 0.0000 μB per atom
* DFT total energy: -9.25 eV per atom
* ΔE_f: -67 kJ/mol of formula units
* symmetry: Immm, No. 71
* N(E_F): 3.37 states/eV per cell

Cell lengths 4.884, 4.884, 4.205 Å; angles 64.50, 64.50, 43.35 degrees
Sites, in units of the cell vectors:
Ta  0.503  0.503  0.497
Ta  0.997  0.997  0.003
Be  0.750  0.750  0.750
Ir  0.250  0.250  0.250



First-principles (PBE) data for crystalline LiTm2Se3 at its relaxed geometry, as listed in Alexandria.

Computed properties:
* total magnetization: 0.0000 μB per atom
* DFT total energy: -5.21 eV per atom
* offset from the most stable computed form: 0.000 eV per atom
* formation energy (no corrections): -1660 meV/atom
* symmetry: I4/mmm, No. 139
* N(E_F): 0.45 states/eV per cell

Cell lengths 4.001, 4.001, 8.949 Å; angles 102.92, 102.92, 89.99 degrees
Sites, in units of the cell vectors:
Tm  0.774  0.775  0.553
Tm  0.095  0.096  0.195
Se  0.267  0.268  0.539
Se  0.934  0.936  0.874
Se  0.602  0.603  0.209
Li  0.434  0.436  0.874



First-principles (PBE) data for crystalline CaFe2 at its relaxed geometry, as listed in Alexandria.

Computed properties:
* total magnetization: 1.7120 μB per atom
* DFT total energy: -5.93 eV per atom
* ΔE_f: 108 kJ/mol of formula units
* symmetry: C2/m, No. 12
* N(E_F): 5.25 states/eV per cell

Cell lengths 5.218, 5.218, 7.575 Å; angles 71.92, 71.92, 34.28 degrees
Sites, in units of the cell vectors:
Fe  0.648  0.648  0.976
Fe  0.031  0.031  0.819
Fe  0.969  0.969  0.181
Fe  0.352  0.352  0.024
Ca  0.659  0.659  0.360
Ca  0.341  0.341  0.640



First-principles (PBE) data for crystalline SrAu3N at its relaxed geometry, as listed in Alexandria.

Computed properties:
* total magnetization: 0.0000 μB per atom
* DFT total energy: -3.73 eV per atom
* offset from the most stable computed form: 0.000 eV per atom
* formation energy (no corrections): 235 meV/atom
* symmetry: Pm-3m, No. 221
* N(E_F): 1.37 states/eV per cell

Cell lengths 4.660, 4.660, 4.660 Å; angles 90.00, 90.00, 90.00 degrees
Sites, in units of the cell vectors:
Sr  0.500  0.500  0.500
N  0.000  0.000  0.000
Au  0.000  0.500  0.000
Au  0.500  0.000  0.000
Au  0.000  0.000  0.500



First-principles (PBE) data for crystalline Tb8HC3N3 at its relaxed geometry, as listed in Alexandria.

Computed properties:
* total magnetization: 0.0000 μB per atom
* DFT total energy: -6.95 eV per atom
* symmetry: R-3m, No. 166
* N(E_F): 3.23 states/eV per cell

Cell lengths 7.104, 7.104, 7.107 Å; angles 119.98, 90.00, 119.99 degrees
Sites, in units of the cell vectors:
H  0.000  0.000  0.500
Tb  0.253  0.000  0.753
Tb  0.253  0.000  0.247
Tb  0.747  0.000  0.753
Tb  0.747  0.000  0.247
Tb  0.248  0.496  0.244
Tb  0.253  0.506  0.753
Tb  0.752  0.504  0.756
Tb  0.747  0.494  0.247
C  0.500  0.000  0.500
C  0.500  0.500  0.500
C  0.000  0.500  0.500
N  0.500  0.500  0.000
N  0.000  0.500  0.000
N  0.000  0.000  0.000



First-principles (PBE) data for crystalline ErHgIrO6 at its relaxed geometry, as listed in Alexandria.

Computed properties:
* total magnetization: 0.0710 μB per atom
* DFT total energy: -6.06 eV per atom
* formation energy (no corrections): -1229 meV/atom
* symmetry: P-31c, No. 163
* N(E_F): 10.75 states/eV per cell

Cell lengths 5.574, 5.574, 9.227 Å; angles 90.00, 90.00, 120.00 degrees
Sites, in units of the cell vectors:
O  0.350  0.960  0.632
O  0.611  0.650  0.632
O  0.650  0.040  0.368
O  0.960  0.611  0.368
O  0.040  0.650  0.868
O  0.350  0.389  0.868
O  0.389  0.040  0.132
O  0.389  0.350  0.368
O  0.611  0.960  0.868
O  0.650  0.611  0.132
O  0.040  0.389  0.632
O  0.960  0.350  0.132
Hg  0.000  0.000  0.000
Hg  0.000  0.000  0.500
Er  0.667  0.333  0.750
Er  0.333  0.667  0.250
Ir  0.333  0.667  0.750
Ir  0.667  0.333  0.250



First-principles (PBE) data for crystalline PmYHoTh2 at its relaxed geometry, as listed in Alexandria.

Computed properties:
* total magnetization: 0.0000 μB per atom
* DFT total energy: -5.70 eV per atom
* ΔE_f: 207 kJ/mol of formula units
* symmetry: Cmcm, No. 63
* N(E_F): 15.01 states/eV per cell

Cell lengths 6.679, 6.664, 8.572 Å; angles 112.88, 90.00, 90.00 degrees
Sites, in units of the cell vectors:
Ho  0.750  0.724  0.447
Ho  0.250  0.276  0.553
Pm  0.250  0.849  0.699
Pm  0.750  0.151  0.301
Y  0.750  0.347  0.693
Y  0.250  0.653  0.307
Th  0.500  0.745  0.000
Th  0.500  0.255  0.000
Th  0.000  0.255  0.000
Th  0.000  0.745  0.000



First-principles (PBE) data for crystalline Tm8Th3 at its relaxed geometry, as listed in Alexandria.

Computed properties:
* total magnetization: 0.0000 μB per atom
* DFT total energy: -5.25 eV per atom
* offset from the most stable computed form: 0.000 eV per atom
* ΔE_f: 31 kJ/mol of formula units
* symmetry: R-3m, No. 166
* N(E_F): 16.55 states/eV per cell

Cell lengths 3.530, 3.530, 31.321 Å; angles 86.77, 86.77, 60.00 degrees
Sites, in units of the cell vectors:
Tm  0.636  0.636  0.091
Tm  0.182  0.182  0.455
Tm  0.545  0.545  0.364
Tm  0.909  0.909  0.272
Tm  0.818  0.818  0.545
Tm  0.364  0.364  0.909
Tm  0.091  0.091  0.728
Tm  0.455  0.455  0.636
Th  0.272  0.272  0.183
Th  0.000  0.000  0.000
Th  0.728  0.728  0.817



First-principles (PBE) data for crystalline MgMo3Pd at its relaxed geometry, as listed in Alexandria.

Computed properties:
* total magnetization: 0.0000 μB per atom
* DFT total energy: -6.09 eV per atom
* ΔE_f: 851 kJ/mol of formula units
* symmetry: Pm-3m, No. 221
* N(E_F): 9.38 states/eV per cell

Cell lengths 4.769, 4.769, 4.769 Å; angles 90.00, 90.00, 90.00 degrees
Sites, in units of the cell vectors:
Mo  0.000  0.500  0.000
Mo  0.000  0.000  0.500
Mo  0.500  0.000  0.000
Pd  0.000  0.000  0.000
Mg  0.500  0.500  0.500



First-principles (PBE) data for crystalline RbTl2HBr4 at its relaxed geometry, as listed in Alexandria.

Computed properties:
* total magnetization: 0.0000 μB per atom
* DFT total energy: -2.87 eV per atom
* symmetry: Fmm2, No. 42
* N(E_F): 0.00 states/eV per cell

Cell lengths 6.673, 6.673, 8.549 Å; angles 114.20, 114.20, 87.13 degrees
Sites, in units of the cell vectors:
Br  0.060  0.432  0.000
Br  0.432  0.060  0.000
Br  0.188  0.188  0.478
Br  0.710  0.710  0.522
Tl  0.705  0.205  0.500
Tl  0.205  0.705  0.500
H  0.262  0.262  0.000
Rb  0.936  0.936  0.000



First-principles (PBE) data for crystalline BaCuP at its relaxed geometry, as listed in Alexandria.

Computed properties:
* total magnetization: 0.0000 μB per atom
* DFT total energy: -4.40 eV per atom
* ΔE_f: -171 kJ/mol of formula units
* symmetry: Pmn2_1, No. 31
* N(E_F): 0.01 states/eV per cell

Cell lengths 5.626, 6.422, 4.237 Å; angles 89.99, 90.01, 90.00 degrees
Sites, in units of the cell vectors:
Cu  0.713  0.984  0.318
Cu  0.213  0.824  0.818
Ba  0.234  0.220  0.318
Ba  0.734  0.588  0.818
P  0.363  0.732  0.318
P  0.863  0.076  0.818